(a)
The following is a DFT calculation (PBE) of a relaxed structure of CoReW.

V, A^3/atom: 14.3

Unit cell a=4.331 b=4.331 c=2.650 alpha=90.00 beta=90.00 gamma=120.00
Last column: magnetic moment on the atom in μB.
Fractional positions:
Co (0.000, 0.000, 0.974)  1.53
Re (0.333, 0.667, 0.357)  0.14
W (0.667, 0.333, 0.669)  0.04

(b)
The following is a DFT calculation (PBE) of a relaxed structure of CoReW.

V, A^3/atom: 13.8

Unit cell a=4.754 b=4.738 c=8.841 alpha=82.25 beta=74.40 gamma=59.89
Fractional positions:
W (0.173, 0.500, 0.655)
W (0.327, 0.500, 0.345)
W (0.577, 0.000, 0.845)
W (0.423, 0.000, 0.155)
Co (0.625, 0.500, 0.750)
Co (0.875, 0.500, 0.250)
Co (0.125, 0.000, 0.750)
Co (0.875, 0.000, 0.250)
Re (0.919, 0.163, 0.500)
Re (0.581, 0.837, 0.500)
Re (0.831, 0.337, 0.000)
Re (0.169, 0.663, 0.000)

Name the least stable of them. (a).

(a)
The following is a DFT calculation (PBE) of a relaxed structure of Co2ReW.

V, A^3/atom: 13.1

Unit cell a=2.682 b=2.682 c=7.305 alpha=90.00 beta=90.00 gamma=90.02
Last column: magnetic moment on the atom in μB.
Fractional positions:
Co (0.000, 0.000, 0.015)  0.78
Co (0.500, 0.500, 0.240)  0.78
Re (0.000, 0.000, 0.470)  -0.10
W (0.500, 0.500, 0.775)  -0.08

(b)
The following is a DFT calculation (PBE) of a relaxed structure of Co2ReW.

V, A^3/atom: 13.3

Unit cell a=4.225 b=4.225 c=4.225 alpha=60.00 beta=60.00 gamma=60.00
Last column: magnetic moment on the atom in μB.
Fractional positions:
Co (0.000, 0.000, 0.000)  -0.19
Co (0.750, 0.750, 0.750)  0.81
Re (0.500, 0.500, 0.500)  0.13
W (0.250, 0.250, 0.250)  0.03

(c)
The following is a DFT calculation (PBE) of a relaxed structure of Co2ReW.

V, A^3/atom: 13.5

Unit cell a=8.720 b=8.720 c=8.720 alpha=17.81 beta=17.81 gamma=17.81
Last column: magnetic moment on the atom in μB.
Fractional positions:
Co (0.996, 0.996, 0.996)  1.03
Co (0.253, 0.253, 0.253)  1.32
Re (0.506, 0.506, 0.506)  -0.01
W (0.745, 0.745, 0.745)  -0.10

(d)
The following is a DFT calculation (PBE) of a relaxed structure of Co2ReW.

V, A^3/atom: 12.9

Unit cell a=2.647 b=2.647 c=7.383 alpha=90.00 beta=90.00 gamma=90.05
Last column: magnetic moment on the atom in μB.
Fractional positions:
Co (0.000, 0.000, 0.005)  0.17
Co (0.000, 0.000, 0.495)  0.17
Re (0.500, 0.500, 0.250)  -0.01
W (0.500, 0.500, 0.750)  0.02

Name the least stable of them. (c).